[1]
The following is a GGA-PBE calculation of Ni3B after structural relaxation, from the Open Quantum Materials Database.

```
Ni3B
1.0
0.0000 2.6726 2.6726
2.6726 0.0000 2.6726
2.6726 2.6726 0.0000
Ni B
3 1
Direct
0.0000 0.0000 0.0000
0.2500 0.2500 0.2500
0.7500 0.7500 0.7500
0.5000 0.5000 0.5000
```

Calculated total energy   -5.70 eV per atom
Total moment   0.00 μB per formula unit
SG   Fm-3m (225)
Volume   38.18 Å³ per cell

---

[2]
The following is a GGA-PBE calculation of GdDy2In3Cu2Pt after structural relaxation, from the Open Quantum Materials Database.

```
GdDy2In3Cu2Pt
1.0
3.9734 0.0000 0.0000
0.0000 6.5318 3.7726
0.0000 -6.5318 3.7726
Gd Dy In Cu Pt
1 2 3 2 1
Direct
0.0000 0.0000 0.0000
0.0000 0.4048 0.8090
0.0000 0.8090 0.4048
0.5000 0.1415 0.4057
0.5000 0.4057 0.1415
0.5000 0.6682 0.6682
0.5000 0.0721 0.7375
0.5000 0.7375 0.0721
0.0000 0.4061 0.4061
```

Calculated total energy   -4.53 eV per atom
Total moment   0.00 μB per formula unit
SG   Amm2 (38)
Volume   195.83 Å³ per cell

---

[3]
The following is a GGA-PBE calculation of LaPrAl2Zn2 after structural relaxation, from the Open Quantum Materials Database.

```
LaPrAl2Zn2
1.0
4.5909 0.0000 0.0000
-2.2954 3.9758 0.0000
0.0000 0.0000 7.6922
La Pr Al Zn
1 1 2 2
Direct
0.0000 0.0000 0.0000
0.0000 0.0000 0.4994
0.3333 0.6667 0.2307
0.6667 0.3333 0.7227
0.3333 0.6667 0.7816
0.6667 0.3333 0.2912
```

Calculated total energy   -3.71 eV per atom
Total moment   0.01 μB per formula unit
SG   P3m1 (156)
Volume   140.40 Å³ per cell